DFT (PBEsol) results for BaGa2O4 after structural relaxation.

Structure (POSCAR):
```
BaGa2O4
1.0
8.7914 0.0000 0.0000
0.0000 10.7151 0.0000
0.0000 -5.3576 9.2796
Ga O Ba
16 32 8
Direct
0.9716 0.1498 0.3234
0.0869 0.8235 0.1528
0.4716 0.8502 0.6766
0.4789 0.3333 0.6667
0.9716 0.1737 0.8502
0.5869 0.6707 0.8235
0.4716 0.8263 0.1498
0.9716 0.6766 0.8263
0.4716 0.3234 0.1737
0.5520 0.6667 0.3333
0.5869 0.1528 0.3293
0.5869 0.1765 0.8472
0.0869 0.8472 0.6707
0.9789 0.6667 0.3333
0.0869 0.3293 0.1765
0.0520 0.3333 0.6667
0.0869 0.6816 0.6835
0.4889 0.1655 0.9924
0.9889 0.8345 0.0076
0.9948 0.1728 0.6774
0.9889 0.9924 0.8269
0.9948 0.3226 0.4955
0.7791 0.2272 0.9275
0.7649 0.6667 0.3333
0.0319 0.8318 0.4975
0.7791 0.0725 0.2997
0.5869 0.6835 0.0019
0.2791 0.2997 0.2272
0.0319 0.6657 0.1682
0.2649 0.3333 0.6667
0.4948 0.8272 0.3226
0.0319 0.5025 0.3343
0.4889 0.8269 0.8345
0.4889 0.0076 0.1731
0.5319 0.4975 0.6657
0.9889 0.1731 0.1655
0.7791 0.7003 0.7728
0.4948 0.6774 0.5045
0.5319 0.3343 0.8318
0.5319 0.1682 0.5025
0.0869 0.0019 0.3184
0.5869 0.3184 0.3165
0.0869 0.3165 0.9981
0.2791 0.7728 0.0725
0.9948 0.5045 0.8272
0.5869 0.9981 0.6816
0.2791 0.9275 0.7003
0.4948 0.4955 0.1728
0.7789 0.5137 0.4932
0.7576 0.0000 0.0000
0.2789 0.4863 0.5068
0.7789 0.9795 0.4863
0.7789 0.5068 0.0205
0.2789 0.4932 0.9795
0.2789 0.0205 0.5137
0.2576 0.0000 0.0000
```

Output
**D(E_F)**: 0.00 states/eV/atom
**Uncorrected formation energy**: -15.6 eV/f.u.
**Crystal system**: hexagonal
**Space group**: P6_3 (173)